Entry 1:
A relaxed HgBPt3 crystal, computed with GGA-PBE.

Lattice parameters (Å, degrees): 6.363 6.363 6.363 53.73 53.73 53.73
Element x y z (fractional)
Hg: 0.099 0.099 0.099
Hg: 0.901 0.901 0.901
B: 0.332 0.332 0.332
B: 0.668 0.668 0.668
Pt: 0.092 0.584 0.584
Pt: 0.416 0.416 0.908
Pt: 0.416 0.908 0.416
Pt: 0.584 0.092 0.584
Pt: 0.584 0.584 0.092
Pt: 0.908 0.416 0.416

Output
DFT total energy = -5.229 eV per atom


Entry 2:
A relaxed HgB2Pt crystal, computed with GGA-PBE.

Lattice parameters (Å, degrees): 4.326 4.326 4.326 60.00 60.00 60.00
Element x y z (fractional)
Hg: 0.000 0.000 0.000
B: 0.250 0.250 0.250
B: 0.500 0.500 0.500
Pt: 0.750 0.750 0.750

Output
DFT total energy = -3.246 eV per atom


Entry 3:
A relaxed HgBPt2 crystal, computed with GGA-PBE.

Lattice parameters (Å, degrees): 4.438 4.438 4.438 60.00 60.00 60.00
Element x y z (fractional)
Hg: 0.000 0.000 0.000
B: 0.750 0.750 0.750
Pt: 0.250 0.250 0.250
Pt: 0.500 0.500 0.500

Output
DFT total energy = -3.916 eV per atom


Entry 4:
A relaxed RbHgB crystal, computed with GGA-PBE.

Lattice parameters (Å, degrees): 5.003 5.003 5.003 60.00 60.00 60.00
Element x y z (fractional)
Rb: 0.000 0.000 0.000
Hg: 0.500 0.500 0.500
B: 0.750 0.750 0.750

Output
energy above the lowest structure with this stoichiometry = 0.00 eV per formula unit


Entry 5:
A relaxed RbHgB crystal, computed with GGA-PBE.

Lattice parameters (Å, degrees): 5.233 5.233 5.233 60.00 60.00 60.00
Element x y z (fractional)
Rb: 0.000 0.000 0.000
Hg: 0.750 0.750 0.750
B: 0.500 0.500 0.500

Output
energy above the lowest structure with this stoichiometry = 0.49 eV per formula unit


Entry 6:
A relaxed Rb2HgB9Se9 crystal, computed with GGA-PBE.

Lattice parameters (Å, degrees): 9.867 10.691 11.271 100.02 90.79 116.28
Element x y z (fractional)
Rb: 0.175 0.344 0.004
Rb: 0.209 0.826 0.499
Rb: 0.791 0.174 0.501
Rb: 0.825 0.656 0.996
Hg: 0.325 0.318 0.574
Hg: 0.675 0.682 0.426
B: 0.247 0.584 0.786
B: 0.249 0.086 0.280
B: 0.336 0.879 0.913
B: 0.337 0.008 0.038
B: 0.377 0.867 0.064
B: 0.423 0.064 0.906
B: 0.428 0.714 0.240
B: 0.484 0.836 0.948
B: 0.486 0.042 0.148
B: 0.514 0.958 0.852
B: 0.516 0.164 0.052
B: 0.572 0.286 0.760
B: 0.577 0.936 0.094
B: 0.623 0.133 0.936
B: 0.663 0.992 0.962
B: 0.664 0.121 0.087
B: 0.751 0.914 0.720
B: 0.753 0.416 0.214
Se: 0.126 0.120 0.402
Se: 0.128 0.396 0.686
Se: 0.158 0.719 0.804
Se: 0.160 0.028 0.109
Se: 0.253 0.711 0.152
Se: 0.362 0.158 0.789
Se: 0.389 0.591 0.356
Se: 0.444 0.636 0.873
Se: 0.448 0.095 0.321
Se: 0.552 0.905 0.679
Se: 0.556 0.364 0.127
Se: 0.611 0.409 0.644
Se: 0.638 0.842 0.211
Se: 0.747 0.289 0.848
Se: 0.840 0.972 0.891
Se: 0.842 0.281 0.196
Se: 0.872 0.604 0.314
Se: 0.874 0.880 0.598

Output
DFT total energy = -4.899 eV per atom


Entry 7:
A relaxed ReHgB crystal, computed with GGA-PBE.

Lattice parameters (Å, degrees): 4.185 4.185 4.185 60.00 60.00 60.00
Element x y z (fractional)
Re: 0.000 0.000 0.000
Hg: 0.250 0.250 0.250
B: 0.750 0.750 0.750

Output
energy above the lowest structure with this stoichiometry = 2.10 eV per formula unit


Entry 8:
A relaxed ReHg2B crystal, computed with GGA-PBE.

Lattice parameters (Å, degrees): 4.515 4.515 4.515 60.00 60.00 60.00
Element x y z (fractional)
Re: 0.000 0.000 0.000
Hg: 0.250 0.250 0.250
Hg: 0.500 0.500 0.500
B: 0.750 0.750 0.750

Output
DFT total energy = -3.292 eV per atom


Number 1: calculated density 17.022 g/cm3. Number 2: calculated density 12.108 g/cm3. Number 3: calculated density 16.163 g/cm3. Number 4: calculated density 5.568 g/cm3. Number 5: calculated density 4.865 g/cm3. Number 6: calculated density 3.751 g/cm3. Number 7: calculated density 12.742 g/cm3. Number 8: calculated density 15.266 g/cm3.